Record 1
Na5Er4Si4O16F (GGA-PBEsol, relaxed); E_form (uncorrected) = -2.99 eV per atom; space group = I-4; DFT total energy = -7.508 eV/atom; total magnetic moment = 0.00 μB per atom
1.0
-4.0577 -2.5790 -2.3814
3.2291 -6.3974 -4.6181
-2.6486 -6.2153 5.1996
Na Er Si O F
5 4 4 16 1
direct
0.0962 0.4851 0.3056
0.8869 0.5149 0.6944
0.4187 0.6944 0.4851
0.5982 0.3056 0.5149
0.0000 0.0000 0.0000
0.6564 0.9337 0.7038
0.2940 0.0663 0.2962
0.4099 0.2962 0.9337
0.6397 0.7038 0.0663
0.9066 0.8578 0.3518
0.1162 0.1422 0.6482
0.2356 0.6482 0.8578
0.7416 0.3518 0.1422
0.8726 0.7224 0.5009
0.0959 0.2776 0.4991
0.4050 0.4991 0.7224
0.6265 0.5009 0.2776
0.7154 0.8644 0.2338
0.8136 0.1356 0.7662
0.4202 0.7662 0.8644
0.0508 0.2338 0.1356
0.2272 0.8275 0.2377
0.2924 0.1725 0.7623
0.9454 0.7623 0.8275
0.5351 0.2377 0.1725
0.8365 0.0348 0.4430
0.3143 0.9652 0.5570
0.1287 0.5570 0.0348
0.7205 0.4430 0.9652
0.5000 0.0000 0.0000



Record 2
YRe3N (GGA-PBEsol, relaxed); E_form (uncorrected) = 0.19 eV per atom; space group = Pm-3m; DFT total energy = -10.880 eV/atom; total magnetic moment = 0.00 μB per atom
1.0
4.1695 0.0000 0.0000
0.0000 4.1695 0.0000
0.0000 0.0000 4.1695
Y Re N
1 3 1
direct
0.5000 0.5000 0.5000
0.0000 0.5000 0.0000
0.0000 0.0000 0.5000
0.5000 0.0000 0.0000
0.0000 0.0000 0.0000



Record 3
BaCrSb2 (GGA-PBEsol, relaxed); E_form (uncorrected) = 0.08 eV per atom; space group = Fm-3m; DFT total energy = -5.298 eV/atom; total magnetic moment = 0.90 μB per atom
1.0
-0.0145 2.3669 4.8386
1.6154 -2.7433 4.3450
4.6570 1.2537 2.3990
Ba Cr Sb
1 1 2
direct
0.0000 0.0000 0.0000
0.5000 0.5000 0.5000
0.7500 0.7500 0.7500
0.2500 0.2500 0.2500



Record 4
SrBrCl (GGA-PBEsol, relaxed); E_form (uncorrected) = -2.28 eV per atom; space group = Pnma; DFT total energy = -4.184 eV/atom; total magnetic moment = 0.00 μB per atom
1.0
4.7281 0.0000 0.0000
0.0000 7.5741 0.0000
0.0000 0.0000 9.7649
Sr Br Cl
4 4 4
direct
0.2500 0.7275 0.5854
0.7500 0.2725 0.4146
0.2500 0.2275 0.9146
0.7500 0.7725 0.0854
0.2500 0.6373 0.8988
0.7500 0.3627 0.1013
0.2500 0.1373 0.6012
0.7500 0.8627 0.3988
0.2500 0.4885 0.3554
0.7500 0.5115 0.6446
0.2500 0.9885 0.1446
0.7500 0.0115 0.8554



Record 5
MgNbMoS2 (GGA-PBEsol, relaxed); E_form (uncorrected) = 0.52 eV per atom; space group = P4/mmm; DFT total energy = -6.094 eV/atom; total magnetic moment = 0.52 μB per atom
1.0
4.7544 0.0000 0.0000
0.0000 4.7544 0.0000
0.0000 0.0000 4.9415
S Mo Mg Nb
2 1 1 1
direct
0.0000 0.5000 0.0000
0.5000 0.0000 0.0000
0.0000 0.0000 0.5000
0.5000 0.5000 0.5000
0.0000 0.0000 0.0000



Record 6
ZrSnRh (GGA-PBEsol, relaxed); space group = P-62m; DFT total energy = -7.966 eV/atom; total magnetic moment = 0.00 μB per atom
1.0
-0.1759 0.6047 3.5613
-2.6414 -6.7255 1.0115
7.2027 1.1528 0.1600
Rh Sn Zr
3 3 3
direct
0.5000 0.0000 0.0000
0.0000 0.3333 0.6667
0.0000 0.6667 0.3333
0.0000 0.0000 0.7321
0.0000 0.2679 0.2679
0.0000 0.7321 0.0000
0.5000 0.3973 0.0000
0.5000 0.0000 0.3973
0.5000 0.6027 0.6027



Record 7
KNaTl2 (GGA-PBEsol, relaxed); space group = Fm-3m; DFT total energy = -1.954 eV/atom; total magnetic moment = 0.00 μB per atom
1.0
5.5746 0.0000 0.0000
2.7873 4.8277 0.0000
2.7873 1.6092 4.5516
Na Tl K
1 2 1
direct
0.0000 0.0000 0.0000
0.2500 0.2500 0.2500
0.7500 0.7500 0.7500
0.5000 0.5000 0.5000



Record 8
LiLa3Bi (GGA-PBEsol, relaxed); space group = Pm-3m; DFT total energy = -4.221 eV/atom; total magnetic moment = 0.12 μB per atom
1.0
6.1279 0.0000 0.0000
0.0000 6.1279 0.0000
0.0000 0.0000 6.1279
Li Bi La
1 1 3
direct
0.5000 0.5000 0.5000
0.0000 0.0000 0.0000
0.0000 0.5000 0.0000
0.0000 0.0000 0.5000
0.5000 0.0000 0.0000



Record 9
MoPdRuRh (GGA-PBEsol, relaxed); space group = P3m1; DFT total energy = -9.041 eV/atom; total magnetic moment = 0.00 μB per atom
1.0
-0.9534 -2.1615 -1.3716
2.6937 0.3880 0.2365
0.0285 -4.6922 7.3746
Ru Mo Rh Pd
1 1 1 1
direct
0.6667 0.3333 0.6169
0.0000 0.0000 0.3771
0.6667 0.3333 0.1337
0.0000 0.0000 0.8724



Record 10
Sc2MnTc2 (GGA-PBEsol, relaxed); space group = I4/mmm; DFT total energy = -8.682 eV/atom; total magnetic moment = 0.51 μB per atom
1.0
-0.6094 -2.3207 -2.4375
-0.1635 -2.4538 2.3770
-7.3661 3.6327 0.7828
Sc Mn Tc
2 1 2
direct
0.3990 0.3990 0.7979
0.6010 0.6010 0.2021
0.0000 0.0000 0.0000
0.2500 0.7500 0.5000
0.7500 0.2500 0.5000



Record 11
LaBeAs2 (GGA-PBEsol, relaxed); space group = Cmmm; DFT total energy = -5.193 eV/atom; total magnetic moment = 0.00 μB per atom
1.0
3.6005 0.1301 0.0000
-1.1000 3.4309 0.0000
0.0000 0.0000 6.3899
Be As La
1 2 1
direct
0.5000 0.5000 0.5000
0.0000 0.0000 0.3035
0.0000 0.0000 0.6965
0.5000 0.5000 0.0000



Record 12
NiHgS2 (GGA-PBEsol, relaxed); E_form (uncorrected) = -0.23 eV per atom; space group = R-3m; DFT total energy = -4.101 eV/atom; total magnetic moment = 0.00 μB per atom
1.0
-1.1359 2.3448 2.1117
-1.9709 -0.8709 2.5701
5.0723 -0.4737 5.9175
Ni S Hg
1 2 1
direct
0.5000 0.5000 0.5000
0.8840 0.8840 0.3481
0.1160 0.1160 0.6519
0.0000 0.0000 0.0000



Record 13
CsBiTeI2 (GGA-PBEsol, relaxed); E_form (uncorrected) = -0.62 eV per atom; space group = P4/mmm; DFT total energy = -3.080 eV/atom; total magnetic moment = 0.00 μB per atom
1.0
-4.7204 2.4652 2.5215
-3.4703 -4.8271 -1.7774
1.3221 -2.9091 5.3191
Cs I Te Bi
1 2 1 1
direct
0.5000 0.5000 0.5000
0.0000 0.0000 0.5000
0.0000 0.5000 0.0000
0.5000 0.0000 0.0000
0.0000 0.0000 0.0000



Record 14
BeZn2PtW (GGA-PBEsol, relaxed); space group = P4/mmm; DFT total energy = -4.950 eV/atom; total magnetic moment = 0.05 μB per atom
1.0
4.0540 0.0000 0.0000
0.0000 4.1350 0.0000
0.0000 0.0000 4.1350
Be Zn W Pt
1 2 1 1
direct
0.0000 0.0000 0.0000
0.0000 0.0000 0.5000
0.0000 0.5000 0.0000
0.5000 0.5000 0.5000
0.5000 0.0000 0.0000



Record 15
YInCl (GGA-PBEsol, relaxed); E_form (uncorrected) = -0.44 eV per atom; space group = F-43m; DFT total energy = -4.382 eV/atom; total magnetic moment = 0.00 μB per atom
1.0
-1.5293 0.3326 4.4740
-4.3844 -1.4125 1.1170
-0.6403 -3.9220 2.5834
Y Cl In
1 1 1
direct
0.5000 0.5000 0.5000
0.2500 0.2500 0.2500
0.0000 0.0000 0.0000



Record 16
SrPtW (GGA-PBEsol, relaxed); space group = F-43m; DFT total energy = -5.510 eV/atom; total magnetic moment = 1.19 μB per atom
1.0
-3.8214 -1.7063 2.1581
-3.5505 -1.7612 -2.5425
-0.8276 -4.6354 0.0065
Pt Sr W
1 1 1
direct
0.5000 0.5000 0.5000
0.2500 0.2500 0.2500
0.0000 0.0000 0.0000



Record 17
BaSb4Rh (GGA-PBEsol, relaxed); E_form (uncorrected) = 0.20 eV per atom; space group = F-43m; DFT total energy = -4.556 eV/atom; total magnetic moment = 0.06 μB per atom
1.0
6.1607 0.0000 0.0000
3.0804 5.3353 0.0000
3.0804 1.7784 5.0302
Ba Rh Sb
1 1 4
direct
0.7500 0.7500 0.7500
0.0000 0.0000 0.0000
0.3737 0.3737 0.3737
0.3737 0.3737 0.8790
0.8790 0.3737 0.3737
0.3737 0.8790 0.3737



Record 18
Ta3CuS (GGA-PBEsol, relaxed); E_form (uncorrected) = 0.55 eV per atom; space group = Pm-3m; DFT total energy = -8.721 eV/atom; total magnetic moment = 0.00 μB per atom
1.0
-2.5786 3.5581 0.8537
-3.6314 -2.3601 -1.1320
-0.4496 -1.3447 4.2459
S Cu Ta
1 1 3
direct
0.0000 0.0000 0.0000
0.5000 0.5000 0.5000
0.0000 0.5000 0.0000
0.0000 0.0000 0.5000
0.5000 0.0000 0.0000



Record 19
La3AsAu (GGA-PBEsol, relaxed); space group = Pm-3m; DFT total energy = -5.292 eV/atom; total magnetic moment = 0.00 μB per atom
1.0
-1.0082 3.7921 -3.9710
-5.2597 -1.8259 -0.4082
-1.5760 3.6676 3.9026
As Au La
1 1 3
direct
0.0000 0.0000 0.0000
0.5000 0.5000 0.5000
0.0000 0.5000 0.0000
0.0000 0.0000 0.5000
0.5000 0.0000 0.0000



Record 20
CeAl2Ga2 (GGA-PBEsol, relaxed); space group = I4/mmm; DFT total energy = -4.723 eV/atom; total magnetic moment = 0.11 μB per atom
1.0
4.1255 0.0000 0.0000
0.0000 4.1255 0.0000
-2.0627 -2.0627 5.5524
Ce Ga Al
1 2 2
direct
0.0000 0.0000 0.0000
0.3897 0.3897 0.7793
0.6103 0.6103 0.2207
0.2500 0.7500 0.5000
0.7500 0.2500 0.5000



Record 21
Mg2AsPb (GGA-PBEsol, relaxed); space group = I-42d; DFT total energy = -3.273 eV/atom; total magnetic moment = 0.00 μB per atom
1.0
-1.7161 3.2739 5.1305
-5.4204 -1.4290 2.9957
1.8524 -1.9479 5.7595
Pb As Mg
2 2 4
direct
0.0000 0.0000 0.0000
0.7500 0.5000 0.5000
0.5000 0.0000 0.0000
0.2500 0.5000 0.5000
0.8750 0.9470 0.5530
0.3750 0.0530 0.4470
0.5720 0.5530 0.0530
0.1780 0.4470 0.9470



Record 22
Ti4H3 (GGA-PBEsol, relaxed); space group = P-42m; DFT total energy = -6.473 eV/atom; total magnetic moment = 0.00 μB per atom
1.0
4.1504 0.0000 0.0000
0.0000 4.1504 0.0000
0.0000 0.0000 4.3556
H Ti
3 4
direct
0.0000 0.0000 0.0000
0.0000 0.0000 0.5000
0.5000 0.5000 0.0000
0.2557 0.2557 0.2616
0.7443 0.7443 0.2616
0.7443 0.2557 0.7384
0.2557 0.7443 0.7384



Record 23
BaP2SeI (GGA-PBEsol, relaxed); E_form (uncorrected) = 0.20 eV per atom; space group = P4/mmm; DFT total energy = -3.669 eV/atom; total magnetic moment = 0.00 μB per atom
1.0
5.1659 0.0000 0.0000
0.0000 5.1659 0.0000
0.0000 0.0000 5.4160
I P Ba Se
1 2 1 1
direct
0.0000 0.0000 0.0000
0.0000 0.5000 0.0000
0.5000 0.0000 0.0000
0.5000 0.5000 0.5000
0.0000 0.0000 0.5000



Record 24
TlSi2Au (GGA-PBEsol, relaxed); E_form (uncorrected) = 0.47 eV per atom; space group = P4/mmm; DFT total energy = -4.038 eV/atom; total magnetic moment = 0.00 μB per atom
1.0
4.0260 0.0000 0.0000
0.0000 4.0260 0.0000
0.0000 0.0000 4.6780
Au Si Tl
1 2 1
direct
0.0000 0.0000 0.5000
0.0000 0.5000 0.0000
0.5000 0.0000 0.0000
0.5000 0.5000 0.5000



Record 25
CsZnBi (GGA-PBEsol, relaxed); space group = P-6m2; DFT total energy = -2.536 eV/atom; total magnetic moment = 0.00 μB per atom
1.0
-1.6582 -2.4966 3.6047
3.9691 -1.3048 -2.1262
3.1408 3.3824 3.7874
Cs Zn Bi
1 1 1
direct
0.3333 0.6667 0.5000
0.6667 0.3333 0.0000
0.0000 0.0000 0.0000



Record 26
Mg5Sb (GGA-PBEsol, relaxed); E_form (uncorrected) = -0.11 eV per atom; space group = Cmmm; DFT total energy = -2.303 eV/atom; total magnetic moment = 0.00 μB per atom
1.0
-2.3886 -3.5510 -0.8647
1.3190 0.1458 -4.2425
6.0995 -3.9645 -0.5688
Sb Mg
1 5
direct
0.0000 0.5000 0.0000
0.5000 0.3310 0.3380
0.0000 0.1677 0.6645
0.5000 0.0000 0.0000
0.0000 0.8323 0.3355
0.5000 0.6690 0.6620